VASP calculation (PBE) on Ba2HfAs after structural relaxation.

Output
* raw total energy: -4.222 eV/atom
* crystal system: cubic
* calculated volume: 484.0 Å³/cell

Structure (CIF):
```
data_Ba2HfAs
_chemical_formula_sum 'Ba8 Hf4 As4'
_cell_length_a 7.8516
_cell_length_b 7.8516
_cell_length_c 7.8516
_cell_angle_alpha 90.00
_cell_angle_beta 90.00
_cell_angle_gamma 90.00
_symmetry_space_group_name_H-M 'F -4 3 m'
_symmetry_Int_Tables_number 216
_symmetry_space_group_name_Hall 'F -4 2 3'
loop_
_atom_site_label
_atom_site_type_symbol
_atom_site_fract_x
_atom_site_fract_y
_atom_site_fract_z
_atom_site_occupancy
Ba1 Ba 0.0000 0.0000 0.0000 1
Ba2 Ba 0.2500 0.2500 0.2500 1
Hf1 Hf 0.2500 0.2500 0.7500 1
As1 As 0.0000 0.0000 0.5000 1
```